Here is a relaxed TlMoO crystal from Alexandria via LeMat-Bulk. Energies are from PBE+U.

Output
magnetic moment	0.46	μB/f.u.
ρ	7.6	Mg/m³
E	-5.029	eV/atom
space-group type	P1
ΔE to the lowest computed polymorph	83.8	meV per atom

a b c (Å): 4.844 5.286 5.463
angles (deg): 99.22 93.75 92.63
Site moments in Bohr magnetons follow the coordinates.
Element x y z (fractional)
O  0.991  0.904  0.355  0.01
O  0.465  0.470  0.095  0.03
Tl  0.806  0.232  0.738  -0.01
Tl  0.326  0.744  0.751  -0.01
Mo  0.776  0.584  0.335  -2.53
Mo  0.184  0.211  0.223  3.29